(P)
Density functional theory data (PBE-GGA) for an optimized crystal structure of IrRh2Au.

Geometry as POSCAR:
```
IrRh2Au
1.0
-0.8279 0.9375 4.2578
-1.2845 4.0853 1.1633
-4.1680 0.7170 1.3443
Ir Rh Au
1 2 1
Cartesian
-4.7102 4.3049 5.0741
0.0000 0.0000 0.0000
-1.5701 1.4350 1.6914
-3.1401 2.8699 3.3827
```

Output
calculated density = 15.99 g/cm³

(Q)
Density functional theory data (PBE-GGA) for an optimized crystal structure of IrRh2Au.

Geometry as POSCAR:
```
IrRh2Au
1.0
-2.6260 0.8050 -0.3794
-0.1754 -1.6272 -2.2381
-2.4913 -5.9843 4.5460
Ir Rh Au
1 2 1
Cartesian
-3.3149 -5.0091 2.1842
-2.4875 -5.9752 4.5391
-1.9834 -1.8109 -0.2454
-1.2438 -2.9877 2.2696
```

Output
calculated density = 16.23 g/cm³

(R)
Density functional theory data (PBE-GGA) for an optimized crystal structure of IrRh2Au.

Geometry as POSCAR:
```
IrRh2Au
1.0
0.0000 3.1413 3.1413
3.1413 0.0000 3.1413
3.1413 3.1413 0.0000
Rh Ir Au
2 1 1
Cartesian
1.5707 1.5707 1.5707
4.7120 4.7120 4.7120
0.0000 0.0000 0.0000
3.1413 3.1413 3.1413
```

Output
calculated density = 15.94 g/cm³

According to the calculations, the structures order from most to least stable as (Q), (R), (P).

(P)
Density functional theory data (PBE-GGA) for an optimized crystal structure of IrRh2Au.

Geometry as POSCAR:
```
IrRh2Au
1.0
-3.8817 0.4550 0.4104
0.0232 -2.5212 3.0144
0.6118 2.9777 2.4858
Ir Rh Au
1 2 1
Cartesian
0.3059 1.4888 1.2429
-1.9409 0.2275 0.2052
0.0116 -1.2606 1.5072
-1.6233 0.4557 2.9553
```

Output
calculated density = 16.29 g/cm³

(Q)
Density functional theory data (PBE-GGA) for an optimized crystal structure of IrRh2Au.

Geometry as POSCAR:
```
IrRh2Au
1.0
-0.1201 -3.9106 3.8982
-4.6348 -2.8075 1.0676
4.0973 1.4619 -3.4027
Ir Rh Au
1 2 1
Cartesian
0.7249 -3.0098 1.5675
-4.7343 -6.6890 4.9442
-1.3887 -2.2551 0.0020
-2.3920 -3.3796 2.4980
```

Output
calculated density = 15.93 g/cm³

According to the calculations, the structures order from most to least stable as (P), (Q).

(P)
Density functional theory data (PBE-GGA) for an optimized crystal structure of Ir2Rh2Au.

Geometry as POSCAR:
```
Ir2Rh2Au
1.0
7.6142 0.0000 0.0000
0.0000 7.6142 0.0000
0.0000 0.0000 2.7349
Rh Ir Au
4 4 2
Cartesian
2.8776 6.6847 0.0000
6.6847 4.7367 0.0000
4.7367 0.9295 0.0000
0.9295 2.8776 0.0000
1.3198 5.1269 1.3674
5.1269 6.2944 1.3674
6.2944 2.4873 1.3674
2.4873 1.3198 1.3674
0.0000 0.0000 0.0000
3.8071 3.8071 0.0000
```

Output
calculated density = 16.49 g/cm³

(Q)
Density functional theory data (PBE-GGA) for an optimized crystal structure of Ir2Rh2Au.

Geometry as POSCAR:
```
Ir2Rh2Au
1.0
-2.1044 -3.4620 6.4356
-2.3255 -6.0317 -4.0052
2.5041 -1.1120 0.2206
Rh Ir Au
4 4 2
Cartesian
-0.6849 -5.2309 -1.4675
-2.0870 -7.8696 1.1476
-1.2409 -5.3747 4.1186
0.1612 -2.7361 1.5035
-2.8411 -6.6126 -1.0818
-3.2940 -6.7891 3.1682
-1.5888 -2.8811 3.5122
-1.1360 -2.7046 -0.7378
0.0000 0.0000 0.0000
-2.2150 -4.7468 1.2152
```

Output
calculated density = 16.45 g/cm³

According to the calculations, the structures order from most to least stable as (Q), (P).

(P)
Density functional theory data (PBE-GGA) for an optimized crystal structure of IrRhAu3.

Geometry as POSCAR:
```
IrRhAu3
1.0
4.9831 0.0000 0.0000
0.0000 4.9831 0.0000
0.0000 0.0000 4.9831
Rh Ir Au
1 1 3
Cartesian
2.4916 2.4916 2.4916
0.0000 0.0000 0.0000
0.0000 2.4916 0.0000
0.0000 0.0000 2.4916
2.4916 0.0000 0.0000
```

Output
calculated density = 11.89 g/cm³

(Q)
Density functional theory data (PBE-GGA) for an optimized crystal structure of IrRhAu3.

Geometry as POSCAR:
```
IrRhAu3
1.0
4.9056 0.0000 0.0000
0.0000 4.9056 0.0000
0.0000 0.0000 4.9056
Rh Ir Au
1 1 3
Cartesian
0.0000 0.0000 0.0000
2.4528 2.4528 2.4528
0.0000 2.4528 0.0000
0.0000 0.0000 2.4528
2.4528 0.0000 0.0000
```

Output
calculated density = 12.46 g/cm³

According to the calculations, the structures order from most to least stable as (P), (Q).